Entry 1:
{"formula": "ZnCu3I", "functional": "PBE", "state": "optimized geometry", "cell": [[4.658, 0.000, 0.000], [0.000, 4.658, 0.000], [0.000, 0.000, 4.658]], "species": ["Cu", "Cu", "Cu", "I", "Zn"], "frac_coords": [[0.000, 0.000, 0.500], [0.500, 0.000, 0.000], [0.000, 0.500, 0.000], [0.500, 0.500, 0.500], [0.000, 0.000, 0.000]], "total_energy_ev_per_atom": -2.3498, "formation_energy_uncorrected_ev_per_atom": 0.67, "de_polymorph_mev_per_atom": 0.0, "n_ef_per_ev_atom": 0.472}

***

Entry 2:
{"formula": "Zn2CuI5", "functional": "PBE", "state": "optimized geometry", "cell": [[4.221, 0.000, 0.000], [-2.111, 7.121, 0.000], [0.000, 0.000, 20.918]], "species": ["Cu", "I", "I", "Zn", "Zn", "I", "I", "I", "Zn", "I", "I", "I", "Cu", "I", "Zn", "I"], "frac_coords": [[0.163, 0.325, 0.250], [0.207, 0.414, 0.750], [0.083, 0.166, 0.142], [0.098, 0.197, 0.860], [0.098, 0.197, 0.640], [0.083, 0.166, 0.358], [0.342, 0.685, 0.427], [0.917, 0.834, 0.858], [0.902, 0.803, 0.140], [0.658, 0.315, 0.573], [0.917, 0.834, 0.642], [0.342, 0.685, 0.073], [0.837, 0.675, 0.750], [0.658, 0.315, 0.927], [0.902, 0.803, 0.360], [0.793, 0.586, 0.250]], "total_energy_ev_per_atom": -2.2248, "formation_energy_uncorrected_ev_per_atom": -0.43, "n_ef_per_ev_atom": 0.000}

***

Entry 3:
{"formula": "ZnCu3I", "functional": "PBE", "state": "optimized geometry", "cell": [[5.031, 0.000, 0.000], [0.000, 5.031, 0.000], [0.000, 0.000, 5.031]], "species": ["Zn", "Cu", "Cu", "Cu", "I"], "frac_coords": [[0.500, 0.500, 0.500], [0.000, 0.000, 0.500], [0.000, 0.500, 0.000], [0.500, 0.000, 0.000], [0.000, 0.000, 0.000]], "total_energy_ev_per_atom": -1.9627, "formation_energy_uncorrected_ev_per_atom": 1.06, "de_polymorph_mev_per_atom": 387.1, "n_ef_per_ev_atom": 0.645}

***

Entry 4:
{"formula": "ZnCuI", "functional": "PBE", "state": "optimized geometry", "cell": [[3.908, 0.000, 0.000], [-1.954, 3.383, 0.000], [0.000, 0.000, 10.148]], "species": ["Cu", "Zn", "I", "Zn", "Cu", "I"], "frac_coords": [[0.445, 0.889, 0.500], [0.778, 0.556, 0.626], [0.111, 0.221, 0.178], [0.778, 0.556, 0.374], [0.445, 0.889, 0.000], [0.111, 0.221, 0.822]], "total_energy_ev_per_atom": -2.0843, "formation_energy_uncorrected_ev_per_atom": 0.22, "n_ef_per_ev_atom": 0.352}

***

Entry 5:
{"formula": "Zn2Cu2I7", "functional": "PBE", "state": "optimized geometry", "cell": [[-8.264, 0.819, 0.938], [2.283, -6.516, -4.027], [0.965, 0.456, 8.104]], "species": ["I", "Zn", "I", "I", "I", "I", "Zn", "Cu", "I", "Cu", "I"], "frac_coords": [[0.255, 0.611, 0.036], [0.984, 0.591, 0.795], [0.745, 0.389, 0.964], [0.289, 0.114, 0.557], [0.711, 0.886, 0.443], [0.745, 0.389, 0.426], [0.016, 0.409, 0.205], [0.500, 0.000, 0.657], [0.255, 0.611, 0.574], [0.500, 0.000, 0.343], [0.000, 0.000, 0.000]], "total_energy_ev_per_atom": -2.1833, "formation_energy_uncorrected_ev_per_atom": -0.22, "n_ef_per_ev_atom": 0.584}

***

Entry 6:
{"formula": "Zn5Cu3I16", "functional": "PBE", "state": "optimized geometry", "cell": [[8.537, 0.409, 1.998], [4.523, 7.252, 1.998], [3.000, 1.760, 17.018]], "species": ["I", "Zn", "I", "I", "I", "I", "I", "I", "I", "Zn", "Cu", "I", "I", "I", "Cu", "Cu", "I", "Zn", "Zn", "I", "I", "I", "I", "Zn"], "frac_coords": [[0.992, 0.992, 0.188], [0.913, 0.421, 0.866], [0.748, 0.748, 0.911], [0.242, 0.242, 0.912], [0.494, 0.012, 0.158], [0.730, 0.230, 0.949], [0.247, 0.774, 0.383], [0.973, 0.468, 0.698], [0.012, 0.494, 0.158], [0.130, 0.130, 0.250], [0.633, 0.149, 0.290], [0.491, 0.491, 0.171], [0.001, 0.001, 0.618], [0.468, 0.973, 0.698], [0.830, 0.830, 0.671], [0.149, 0.633, 0.290], [0.768, 0.768, 0.382], [0.572, 0.572, 0.438], [0.393, 0.393, 0.072], [0.276, 0.276, 0.380], [0.514, 0.514, 0.602], [0.774, 0.247, 0.383], [0.230, 0.730, 0.949], [0.421, 0.913, 0.866]], "total_energy_ev_per_atom": -2.1233, "formation_energy_uncorrected_ev_per_atom": -0.31, "n_ef_per_ev_atom": 0.599}

***

Entry 7:
{"formula": "Zn2CuI", "functional": "PBE", "state": "optimized geometry", "cell": [[-4.184, -4.690, -2.629], [5.267, -2.905, -3.199], [1.262, -6.460, 0.690]], "species": ["I", "Zn", "Zn", "Cu", "Zn", "I", "Cu", "Zn"], "frac_coords": [[0.750, 0.250, 0.500], [0.566, 0.125, 0.250], [0.375, 0.434, 0.750], [0.500, 0.500, 0.000], [0.875, 0.816, 0.750], [0.000, 0.000, 0.000], [0.250, 0.750, 0.500], [0.184, 0.625, 0.250]], "total_energy_ev_per_atom": -1.8055, "formation_energy_uncorrected_ev_per_atom": 0.24, "de_polymorph_mev_per_atom": 0.0, "n_ef_per_ev_atom": 0.049}

***

Entry 8:
{"formula": "Zn3Cu5I12", "functional": "PBE", "state": "optimized geometry", "cell": [[15.327, 0.000, 0.000], [-5.109, 14.450, 0.000], [-5.109, -7.225, 12.514]], "species": ["I", "I", "Cu", "I", "I", "I", "Zn", "Zn", "I", "I", "Cu", "Zn", "I", "I", "Cu", "I", "Cu", "I", "Zn", "Cu", "Zn", "I", "I", "Zn", "I", "Zn", "I", "Cu", "Zn", "I", "Cu", "Cu", "Cu", "I", "Zn", "I", "I", "Cu", "Cu", "I", "Cu", "I", "I", "I", "I", "I", "I", "Cu", "I", "Cu", "I", "I", "Cu", "I", "Cu", "I", "I", "I", "I", "Cu", "I", "I", "Cu", "Zn", "I", "I", "I", "I", "Zn", "I", "Cu", "I", "I", "I", "Cu", "I", "I", "I", "Zn", "I"], "frac_coords": [[0.846, 0.497, 0.843], [0.003, 0.846, 0.849], [0.625, 0.750, 0.875], [0.843, 0.846, 0.497], [0.654, 0.151, 0.497], [0.654, 0.657, 0.003], [0.250, 0.625, 0.875], [0.375, 0.750, 0.625], [0.003, 0.157, 0.654], [0.151, 0.497, 0.654], [0.000, 0.000, 0.000], [0.875, 0.750, 0.125], [0.497, 0.846, 0.343], [0.003, 0.346, 0.349], [0.000, 0.500, 0.000], [0.997, 0.843, 0.346], [0.375, 0.250, 0.125], [0.503, 0.154, 0.657], [0.750, 0.875, 0.625], [0.500, 0.500, 0.500], [0.125, 0.250, 0.875], [0.651, 0.154, 0.997], [0.997, 0.154, 0.151], [0.875, 0.125, 0.250], [0.497, 0.151, 0.154], [0.750, 0.375, 0.125], [0.654, 0.503, 0.657], [0.250, 0.375, 0.625], [0.125, 0.875, 0.750], [0.846, 0.843, 0.997], [0.875, 0.625, 0.750], [0.500, 0.000, 0.000], [0.750, 0.625, 0.375], [0.343, 0.997, 0.346], [0.250, 0.125, 0.375], [0.497, 0.651, 0.654], [0.846, 0.003, 0.349], [0.000, 0.000, 0.500], [0.500, 0.000, 0.500], [0.346, 0.343, 0.997], [0.000, 0.500, 0.500], [0.154, 0.503, 0.157], [0.154, 0.997, 0.651], [0.503, 0.849, 0.846], [0.346, 0.849, 0.503], [0.503, 0.654, 0.157], [0.346, 0.003, 0.849], [0.375, 0.125, 0.750], [0.497, 0.346, 0.843], [0.625, 0.875, 0.250], [0.154, 0.651, 0.497], [0.657, 0.003, 0.654], [0.875, 0.250, 0.625], [0.654, 0.997, 0.151], [0.250, 0.875, 0.125], [0.154, 0.157, 0.003], [0.503, 0.349, 0.346], [0.157, 0.003, 0.154], [0.997, 0.343, 0.846], [0.125, 0.375, 0.250], [0.849, 0.346, 0.003], [0.349, 0.846, 0.003], [0.500, 0.500, 0.000], [0.625, 0.375, 0.750], [0.997, 0.654, 0.651], [0.651, 0.497, 0.154], [0.157, 0.154, 0.503], [0.849, 0.503, 0.346], [0.625, 0.250, 0.375], [0.349, 0.503, 0.846], [0.125, 0.750, 0.375], [0.657, 0.654, 0.503], [0.343, 0.346, 0.497], [0.003, 0.657, 0.154], [0.750, 0.125, 0.875], [0.151, 0.654, 0.997], [0.846, 0.349, 0.503], [0.346, 0.497, 0.343], [0.375, 0.625, 0.250], [0.843, 0.997, 0.846]], "total_energy_ev_per_atom": -2.2309, "formation_energy_uncorrected_ev_per_atom": -0.09, "n_ef_per_ev_atom": 0.285}

***

Entry 9:
{"formula": "Zn2CuI", "functional": "PBE", "state": "optimized geometry", "cell": [[-2.697, -2.817, 3.042], [-0.731, 1.414, 4.683], [-4.477, 1.516, 1.455]], "species": ["Cu", "Zn", "Zn", "I"], "frac_coords": [[0.000, 0.000, 0.000], [0.750, 0.750, 0.750], [0.250, 0.250, 0.250], [0.500, 0.500, 0.500]], "total_energy_ev_per_atom": -1.4072, "formation_energy_uncorrected_ev_per_atom": 0.64, "de_polymorph_mev_per_atom": 398.3, "n_ef_per_ev_atom": 0.362}

***

Entry 10:
{"formula": "ZnCu2I", "functional": "PBE", "state": "optimized geometry", "cell": [[0.000, 3.347, 3.347], [3.347, 0.000, 3.347], [3.347, 3.347, 0.000]], "species": ["Zn", "Cu", "Cu", "I"], "frac_coords": [[0.000, 0.000, 0.000], [0.750, 0.750, 0.750], [0.250, 0.250, 0.250], [0.500, 0.500, 0.500]], "total_energy_ev_per_atom": -2.1513, "formation_energy_uncorrected_ev_per_atom": 0.60, "de_polymorph_mev_per_atom": 174.4, "n_ef_per_ev_atom": 0.823}

***

Entry 11:
{"formula": "Zn5CuI12", "functional": "PBE", "state": "optimized geometry", "cell": [[-5.614, 3.000, -3.577], [-3.783, -3.697, -4.620], [-9.876, -4.143, 10.993]], "species": ["I", "I", "Zn", "Zn", "I", "I", "I", "Zn", "Zn", "I", "Zn", "I", "I", "I", "I", "Cu", "I", "I"], "frac_coords": [[0.482, 0.334, 0.606], [0.690, 0.322, 0.102], [0.833, 0.334, 0.500], [0.500, 0.000, 0.500], [0.815, 0.667, 0.606], [0.850, 0.000, 0.394], [0.987, 0.323, 0.898], [0.662, 0.678, 0.000], [0.167, 0.666, 0.500], [0.013, 0.677, 0.102], [0.339, 0.322, 0.000], [0.518, 0.666, 0.394], [0.149, 0.000, 0.606], [0.309, 0.678, 0.898], [0.359, 0.000, 0.113], [0.000, 0.000, 0.000], [0.184, 0.333, 0.394], [0.641, 0.000, 0.887]], "total_energy_ev_per_atom": -1.9982, "formation_energy_uncorrected_ev_per_atom": -0.38, "n_ef_per_ev_atom": 0.110}

***

Entry 12:
{"formula": "ZnCuI4", "functional": "PBE", "state": "optimized geometry", "cell": [[-0.056, -7.563, -1.523], [5.173, -1.166, 5.604], [-7.507, -1.286, 6.663]], "species": ["I", "I", "I", "I", "I", "Zn", "I", "I", "Cu", "Zn", "Cu", "I"], "frac_coords": [[0.761, 0.756, 0.000], [0.239, 0.244, 0.000], [0.239, 0.756, 0.000], [0.756, 0.239, 0.500], [0.761, 0.244, 0.000], [0.000, 0.500, 0.000], [0.244, 0.239, 0.500], [0.244, 0.761, 0.500], [0.000, 0.000, 0.000], [0.500, 0.000, 0.500], [0.000, 0.000, 0.500], [0.756, 0.761, 0.500]], "total_energy_ev_per_atom": -2.1482, "formation_energy_uncorrected_ev_per_atom": -0.22, "n_ef_per_ev_atom": 0.402}

***

What did the fifth record say?
{"formula": "Zn2Cu2I7", "functional": "PBE", "state": "optimized geometry", "cell": [[-8.264, 0.819, 0.938], [2.283, -6.516, -4.027], [0.965, 0.456, 8.104]], "species": ["I", "Zn", "I", "I", "I", "I", "Zn", "Cu", "I", "Cu", "I"], "frac_coords": [[0.255, 0.611, 0.036], [0.984, 0.591, 0.795], [0.745, 0.389, 0.964], [0.289, 0.114, 0.557], [0.711, 0.886, 0.443], [0.745, 0.389, 0.426], [0.016, 0.409, 0.205], [0.500, 0.000, 0.657], [0.255, 0.611, 0.574], [0.500, 0.000, 0.343], [0.000, 0.000, 0.000]], "total_energy_ev_per_atom": -2.1833, "formation_energy_uncorrected_ev_per_atom": -0.22, "n_ef_per_ev_atom": 0.584}